NaTlGaCl3 | Alexandria via LeMat-Bulk | PBE-GGA | relaxed; calculated density = 3.74 g cm⁻³; space group = C2/c, No. 15; uncorrected formation energy = -1116 meV/atom; volume = 29.9 A^3/atom; total magnetization = 0.00 Bohr magnetons per cell; E_tot = -37.90 eV/cell
1.0
3.610 -7.388 0.000
3.610 7.388 0.000
-2.070 0.000 6.719
Na Tl Ga Cl
2 2 2 6
Direct
0.059 0.941 0.750
0.941 0.059 0.250
0.245 0.755 0.250
0.755 0.245 0.750
0.433 0.567 0.750
0.567 0.433 0.250
0.159 0.300 0.995
0.245 0.755 0.750
0.300 0.159 0.495
0.700 0.841 0.505
0.755 0.245 0.250
0.841 0.700 0.005